Version a
meta-GGA SCAN HfNbTe2, PBEsol geometry; D(E_F) = 0.900 states/eV per atom
1.0
-2.2394 2.2394 9.4463
2.2394 -2.2394 9.4463
2.2394 2.2394 -9.4463
Hf Nb Te
2 2 4
direct
0.0000 0.0000 0.0000 Hf
0.7500 0.2500 0.5000 Hf
0.2500 0.7500 0.5000 Nb
0.5000 0.5000 0.0000 Nb
0.1351 0.6250 0.0101 Te
0.3750 0.3851 0.5101 Te
0.6149 0.1250 0.9899 Te
0.8750 0.8649 0.4899 Te

Version b
meta-GGA SCAN HfNbTe2, PBEsol geometry; D(E_F) = 0.843 states/eV per atom
1.0
0.0000 3.4431 3.4431
3.4431 0.0000 3.4431
3.4431 3.4431 0.0000
Hf Nb Te
1 1 2
direct
0.0000 0.0000 0.0000 Hf
0.5000 0.5000 0.5000 Nb
0.2500 0.2500 0.2500 Te
0.7500 0.7500 0.7500 Te

Short version: version b is the most stable of them.

Version a
meta-GGA SCAN HfP2O7, PBEsol geometry; D(E_F) = 0.000 states/eV per atom
1.0
5.0398 0.0000 0.0000
-1.8981 6.8616 0.0000
-0.6296 -0.4351 8.4128
Hf P O
2 4 14
direct
0.0000 0.0000 0.0000 Hf
0.5000 0.5000 0.5000 Hf
0.0032 0.3664 0.7396 P
0.3745 0.7485 0.8109 P
0.6255 0.2515 0.1891 P
0.9968 0.6336 0.2604 P
0.0827 0.8071 0.1578 O
0.1726 0.3290 0.6055 O
0.1889 0.8833 0.8289 O
0.2023 0.5354 0.8586 O
0.2412 0.5611 0.3220 O
0.3702 0.1950 0.0718 O
0.4459 0.7259 0.6401 O
0.5541 0.2741 0.3599 O
0.6298 0.8050 0.9282 O
0.7588 0.4389 0.6780 O
0.7977 0.4646 0.1414 O
0.8111 0.1167 0.1711 O
0.8274 0.6710 0.3945 O
0.9173 0.1929 0.8422 O

Version b
meta-GGA SCAN HfP2O7, PBEsol geometry; D(E_F) = 0.000 states/eV per atom
1.0
5.3802 0.0000 0.0000
0.0000 12.9578 0.0000
-5.3646 0.0000 8.5715
Hf P O
4 8 28
direct
0.0877 0.1476 0.3412 Hf
0.0877 0.3524 0.8412 Hf
0.9123 0.6476 0.1588 Hf
0.9123 0.8524 0.6588 Hf
0.3137 0.6909 0.5665 P
0.3137 0.8091 0.0665 P
0.4547 0.0267 0.6952 P
0.4547 0.4733 0.1952 P
0.5453 0.5267 0.8048 P
0.5453 0.9733 0.3048 P
0.6863 0.1909 0.9335 P
0.6863 0.3091 0.4335 P
0.1184 0.7353 0.6190 O
0.1184 0.7647 0.1190 O
0.1514 0.6762 0.3913 O
0.1514 0.8238 0.8913 O
0.2229 0.5470 0.1815 O
0.2229 0.9530 0.6815 O
0.2991 0.0297 0.3059 O
0.2991 0.4703 0.8059 O
0.3272 0.1138 0.5765 O
0.3272 0.3862 0.0765 O
0.4026 0.5765 0.6346 O
0.4026 0.9235 0.1346 O
0.4054 0.2477 0.3719 O
0.4054 0.2523 0.8719 O
0.5946 0.7477 0.1281 O
0.5946 0.7523 0.6281 O
0.5974 0.0765 0.8654 O
0.5974 0.4235 0.3654 O
0.6728 0.6138 0.9235 O
0.6728 0.8862 0.4235 O
0.7009 0.5297 0.1941 O
0.7009 0.9703 0.6941 O
0.7771 0.0470 0.3185 O
0.7771 0.4530 0.8185 O
0.8486 0.1762 0.1087 O
0.8486 0.3238 0.6087 O
0.8816 0.2353 0.8810 O
0.8816 0.2647 0.3810 O

Short version: version b is the most stable of them.

Version a
meta-GGA SCAN Sr2HfO4, PBEsol geometry; D(E_F) = 0.000 states/eV per atom
1.0
6.0153 0.0000 0.0000
0.0000 10.1704 0.0000
0.0000 0.0000 3.3325
Sr Hf O
4 2 8
direct
0.0668 0.1793 0.0000 Sr
0.4332 0.6793 0.0000 Sr
0.5668 0.3207 0.0000 Sr
0.9332 0.8207 0.0000 Sr
0.0000 0.5000 0.5000 Hf
0.5000 0.0000 0.5000 Hf
0.1316 0.6856 0.5000 O
0.2124 0.4540 0.0000 O
0.2876 0.9540 0.0000 O
0.3684 0.1856 0.5000 O
0.6316 0.8144 0.5000 O
0.7124 0.0460 0.0000 O
0.7876 0.5460 0.0000 O
0.8684 0.3144 0.5000 O

Version b
meta-GGA SCAN Sr2HfO4, PBEsol geometry; D(E_F) = 0.000 states/eV per atom
1.0
-2.0345 2.0345 6.3324
2.0345 -2.0345 6.3324
2.0345 2.0345 -6.3324
Sr Hf O
2 1 4
direct
0.1471 0.1471 0.0000 Sr
0.8529 0.8529 0.0000 Sr
0.5000 0.5000 0.0000 Hf
0.0000 0.5000 0.5000 O
0.3356 0.3356 0.0000 O
0.5000 0.0000 0.5000 O
0.6644 0.6644 0.0000 O

Version c
meta-GGA SCAN Sr2HfO4, PBEsol geometry; D(E_F) = 0.000 states/eV per atom
1.0
5.7918 0.0000 0.0000
0.0000 5.7918 0.0000
0.0000 0.0000 12.4840
Sr Hf O
8 4 16
direct
0.0146 0.0146 0.1480 Sr
0.0146 0.4854 0.6480 Sr
0.4854 0.0146 0.6480 Sr
0.4854 0.4854 0.1480 Sr
0.5146 0.5146 0.8520 Sr
0.5146 0.9854 0.3520 Sr
0.9854 0.5146 0.3520 Sr
0.9854 0.9854 0.8520 Sr
0.0000 0.0000 0.5000 Hf
0.0000 0.5000 0.0000 Hf
0.5000 0.0000 0.0000 Hf
0.5000 0.5000 0.5000 Hf
0.0457 0.0457 0.6637 O
0.0457 0.4543 0.1637 O
0.2500 0.2500 0.4731 O
0.2500 0.2500 0.9731 O
0.2500 0.7500 0.0000 O
0.2500 0.7500 0.5000 O
0.4543 0.0457 0.1637 O
0.4543 0.4543 0.6637 O
0.5457 0.5457 0.3363 O
0.5457 0.9543 0.8363 O
0.7500 0.2500 0.0000 O
0.7500 0.2500 0.5000 O
0.7500 0.7500 0.0269 O
0.7500 0.7500 0.5269 O
0.9543 0.5457 0.8363 O
0.9543 0.9543 0.3363 O

Short version: version c is the most stable of them.